No. 1
The following is a PBE calculation of crystalline Ge2IrW at its relaxed geometry, from Alexandria.

Unit cell a=4.395 b=4.395 c=4.395 alpha=60.00 beta=60.00 gamma=60.00
Positions (direct):
Ir: 0.500 0.500 0.500
W: 0.000 0.000 0.000
Ge: 0.750 0.750 0.750
Ge: 0.250 0.250 0.250

Space group   Fm-3m, No. 225
D(E_F)   3.0 states/eV/f.u.
Calculated formation energy   0.17 eV/atom

***

No. 2
The following is a PBE calculation of crystalline GeIr3W at its relaxed geometry, from Alexandria.

Unit cell a=4.502 b=4.502 c=4.502 alpha=90.00 beta=90.00 gamma=90.00
Last column: magnetic moment on the atom in μB.
Positions (direct):
W: 0.500 0.500 0.500  2.03
Ir: 0.000 0.500 0.000  0.19
Ir: 0.500 0.000 0.000  0.14
Ir: 0.000 0.000 0.500  0.12
Ge: 0.000 0.000 0.000  0.01

Space group   Pm-3m, No. 221
D(E_F)   5.3 states/eV/f.u.
Calculated formation energy   1.48 eV/atom

***

No. 3
The following is a PBE calculation of crystalline GeIrW3 at its relaxed geometry, from Alexandria.

Unit cell a=4.520 b=4.520 c=4.520 alpha=90.00 beta=90.00 gamma=90.00
Positions (direct):
Ir: 0.500 0.500 0.500
W: 0.000 0.000 0.500
W: 0.000 0.500 0.000
W: 0.500 0.000 0.000
Ge: 0.000 0.000 0.000

Space group   Pm-3m, No. 221
D(E_F)   4.7 states/eV/f.u.
Calculated formation energy   1.77 eV/atom

***

No. 4
The following is a PBE calculation of crystalline Ge3IrW at its relaxed geometry, from Alexandria.

Unit cell a=4.767 b=4.767 c=4.767 alpha=90.00 beta=90.00 gamma=90.00
Last column: magnetic moment on the atom in μB.
Positions (direct):
Ge: 0.000 0.500 0.000  -0.02
Ge: 0.500 0.000 0.000  0.01
Ge: 0.000 0.000 0.500  -0.06
W: 0.500 0.500 0.500  2.72
Ir: 0.000 0.000 0.000  0.02

Space group   Pm-3m, No. 221
D(E_F)   2.6 states/eV/f.u.
Calculated formation energy   1.21 eV/atom

***

No. 5
The following is a PBE calculation of crystalline GeIr3W at its relaxed geometry, from Alexandria.

Unit cell a=4.777 b=4.777 c=4.777 alpha=90.00 beta=90.00 gamma=90.00
Positions (direct):
Ir: 0.500 0.000 0.000
Ir: 0.000 0.500 0.000
Ir: 0.000 0.000 0.500
Ge: 0.500 0.500 0.500
W: 0.000 0.000 0.000

Space group   Pm-3m, No. 221
D(E_F)   5.1 states/eV/f.u.
Calculated formation energy   1.58 eV/atom

***

No. 6
The following is a PBE calculation of crystalline Ge2IrW at its relaxed geometry, from Alexandria.

Unit cell a=2.909 b=2.909 c=9.274 alpha=80.98 beta=80.98 gamma=60.00
Positions (direct):
Ge: 0.905 0.905 0.284
Ge: 0.095 0.095 0.716
Ir: 0.500 0.500 0.500
W: 0.000 0.000 0.000

Space group   R-3m, No. 166
D(E_F)   1.8 states/eV/f.u.
Calculated formation energy   0.31 eV/atom

***

What is the D(E_F) in the second record?
5.3 states/eV/f.u.